DFT (PBE) results for an optimized crystal structure of BaSrPaN3.

Cell and atoms, written as CIF:
```
data_BaSrPaN3
_space_group_name_H-M_alt 'P 1'
_space_group_IT_number 1
_cell_length_a 7.1806
_cell_length_b 7.1806
_cell_length_c 6.2414
_cell_angle_alpha 95.01
_cell_angle_beta 95.01
_cell_angle_gamma 127.93
loop_
_space_group_symop_operation_xyz
'x,y,z'
loop_
_atom_site_label
_atom_site_type_symbol
_atom_site_fract_x
_atom_site_fract_y
_atom_site_fract_z
Ba1 Ba 0.2400 0.7600 0.7500
Ba2 Ba 0.7600 0.2400 0.2500
Sr1 Sr 0.4280 0.5720 0.2500
Sr2 Sr 0.5720 0.4280 0.7500
Pa1 Pa 0.0674 0.9326 0.2500
Pa2 Pa 0.9326 0.0674 0.7500
N1 N 0.1620 0.2503 0.4897
N2 N 0.2315 0.7685 0.2500
N3 N 0.2503 0.1620 0.9897
N4 N 0.7497 0.8380 0.0103
N5 N 0.7685 0.2315 0.7500
N6 N 0.8380 0.7497 0.5103
```

Results
The formation energy without anion corrections comes out at -1106 meV/atom. The calculation puts the volume at 249 Å³/cell.